1.
Er4BSeS2 | PBE | optimized geometry

extended XYZ file:
```
8
Lattice="-2.748 2.748 5.532 2.748 -2.748 5.532 2.748 2.748 -5.532" Properties=species:S:1:pos:R:3 pbc="T T T"
Er 2.748 0.000 0.050
Er 0.000 0.000 2.555
Er 2.748 0.000 5.482
Er 0.000 0.000 8.508
B 0.000 0.000 0.000
Se 0.000 2.748 2.766
S 2.748 0.000 2.766
S 0.000 0.000 5.532
```

Calculated values
As for the crystal system: tetragonal. Its formation energy from raw total energies is -12.15 eV/f.u. Its symmetry is No. 119. As for the total DFT energy (no corrections): -6.102 eV per atom.

***

2.
KMo2Br | PBE | optimized geometry

extended XYZ file:
```
4
Lattice="2.890 0.000 0.000 0.000 2.890 0.000 0.000 0.000 10.141" Properties=species:S:1:pos:R:3 pbc="T T T"
K 0.000 0.000 0.000
Mo 1.445 1.445 3.074
Mo 1.445 1.445 7.067
Br 0.000 0.000 5.071
```

Calculated values
As for the crystal system: tetragonal. Its formation energy from raw total energies is 5.90 eV/f.u. Its symmetry is No. 123. The energy above the lowest structure with this stoichiometry comes out at 1227 meV/atom. As for the total DFT energy (no corrections): -4.632 eV per atom.

***

3.
LaPbSe | PBE | optimized geometry

extended XYZ file:
```
6
Lattice="2.452 1.416 9.395 -2.452 1.416 9.395 0.000 -2.831 9.395" Properties=species:S:1:pos:R:3 pbc="T T T"
La 0.000 0.000 2.763
La 0.000 0.000 25.422
Pb 0.000 0.000 10.084
Pb 0.000 0.000 18.101
Se 0.000 0.000 5.809
Se 0.000 0.000 22.376
```

Calculated values
As for the crystal system: trigonal. Its formation energy from raw total energies is -3.54 eV/f.u. Its symmetry is No. 166. The energy above the lowest structure with this stoichiometry comes out at 0 meV/atom. As for the total DFT energy (no corrections): -5.219 eV per atom.